1.
The following is a DFT calculation (PBE-GGA) of crystalline Ac4Al5Ga2 at its relaxed geometry.

Calculated values
total magnetization = 0.00 μB per cell
VASP energy = -4.10 eV per atom

Cell and atoms, written as CIF:
```
data_Ac4Al5Ga2
_chemical_formula_sum 'Ac4 Al5 Ga2'
_cell_length_a 7.3566
_cell_length_b 4.9078
_cell_length_c 8.6052
_cell_angle_alpha 90.00
_cell_angle_beta 95.72
_cell_angle_gamma 90.00
_space_group_name_H-M_alt 'P 1 2/m 1'
_space_group_IT_number 10
loop_
_space_group_symop_operation_xyz
'x,y,z'
'-x,-y,-z'
'-x,y,-z'
'x,-y,z'
loop_
_atom_site_label
_atom_site_type_symbol
_atom_site_fract_x
_atom_site_fract_y
_atom_site_fract_z
Ac1 Ac 0.2148 0.0000 0.1445
Ac2 Ac 0.2654 0.0000 0.6375
Al1 Al 0.1264 0.5000 0.8919
Al2 Al 0.4106 0.5000 0.3609
Al3 Al 0.5000 0.5000 0.0000
Ga1 Ga 0.0647 0.5000 0.3732
```

2.
The following is a DFT calculation (PBE-GGA) of crystalline ScB2S2 at its relaxed geometry.

Calculated values
ΔE_f (raw) = -2.2 eV per formula unit
polymorph energy (0 for the lowest one) = 0.0 kJ per mole of atoms
total magnetization = 0.00 μB per cell
VASP energy = -6.03 eV per atom

Cell and atoms, written as CIF:
```
data_ScB2S2
_chemical_formula_sum 'Sc2 B4 S4'
_cell_length_a 6.5707
_cell_length_b 6.5707
_cell_length_c 3.0605
_cell_angle_alpha 90.00
_cell_angle_beta 90.00
_cell_angle_gamma 90.00
_space_group_name_H-M_alt 'P 4/m b m'
_space_group_IT_number 127
_space_group_name_Hall '-P 4 2ab'
loop_
_atom_site_label
_atom_site_type_symbol
_atom_site_fract_x
_atom_site_fract_y
_atom_site_fract_z
Sc1 Sc 0.0000 0.0000 0.0000
B1 B 0.0880 0.4120 0.0000
S1 S 0.2041 0.2959 0.5000
```

3.
The following is a DFT calculation (PBE-GGA) of crystalline NaSr2AsAu at its relaxed geometry.

Calculated values
total magnetization = 0.00 μB per cell
VASP energy = -2.90 eV per atom

Cell and atoms, written as CIF:
```
data_NaSr2AsAu
_chemical_formula_sum 'Na1 Sr2 As1 Au1'
_cell_length_a 6.0216
_cell_length_b 6.0216
_cell_length_c 5.1504
_cell_angle_alpha 90.00
_cell_angle_beta 90.00
_cell_angle_gamma 90.00
_space_group_name_H-M_alt 'P 4/m m m'
_space_group_IT_number 123
_space_group_name_Hall '-P 4 2'
loop_
_atom_site_label
_atom_site_type_symbol
_atom_site_fract_x
_atom_site_fract_y
_atom_site_fract_z
Na1 Na 0.0000 0.0000 0.0000
Sr1 Sr 0.0000 0.5000 0.5000
As1 As 0.5000 0.5000 0.5000
Au1 Au 0.5000 0.5000 0.0000
```